PBE-GGA KSr4I8, relaxed; V = 53.77 A^3/atom; DOS at the Fermi energy = 5.1 states/eV/cell; magnetic moment = 0.00 μB per atom; raw formation energy = -1.544 eV/atom; space group = F-43m, No. 216; calculated total energy = -3.10 eV per atom
1.0
-2.815 5.001 -8.143
-9.571 2.447 -1.283
-2.850 9.517 0.737
Sr I K
4 8 1
Cartesian
-7.105 8.875 -7.427
-7.123 11.206 -2.843
-5.652 6.293 -3.223
-10.593 7.556 -3.885
-9.291 10.345 -5.299
-3.369 6.661 -0.838
-6.452 3.418 -1.764
-2.062 2.296 -1.176
-8.039 6.165 -5.622
-3.353 4.590 -4.911
-8.055 8.149 -1.722
-5.087 9.271 -4.735
-11.427 12.724 -6.517